Here is a geometry-optimized K2SmV3F12 structure from Alexandria. Energies are from GGA+U.

a = 7.7114 Å, b = 7.7114 Å, c = 17.4656 Å
α = 90.00°, β = 90.00°, γ = 120.00°
Space group R-3m (No. 166, hexagonal axes)
Unique sites:
K (0.0000, 0.0000, 0.1232) x6
Sm (0.0000, 0.0000, 0.5000) x3
V (0.0000, 0.5000, 0.0000) x9
F (0.0088, 0.5044, 0.1181) x18
F (0.0741, 0.5370, 0.3243) x18

Calculated values
The value obtained for the density of states at the Fermi level is 0.357 states/eV/atom. The calculation puts the total moment at 8.00 μB/f.u. The calculated volume comes out at 16.66 Å³ per atom. The electronic total energy is -5.910 eV/atom.